# Ce2Pm3Pb7

A relaxed Ce2Pm3Pb7 crystal (GGA-PBE, Alexandria via LeMat-Bulk).

The structure in POSCAR format:
```
Ce2Pm3Pb7
1.0
5.854 0.000 0.000
0.000 5.998 0.000
0.000 -2.999 11.463
Ce Pm Pb
2 3 7
Direct
0.000 0.857 0.715 Ce
0.000 0.143 0.285 Ce
0.500 0.500 0.000 Pm
0.500 0.655 0.311 Pm
0.500 0.345 0.689 Pm
0.000 0.424 0.848 Pb
0.000 0.717 0.435 Pb
0.000 0.000 0.000 Pb
0.000 0.576 0.152 Pb
0.500 0.081 0.161 Pb
0.500 0.919 0.839 Pb
0.000 0.283 0.565 Pb
```

## Properties
- ΔH_f (0 K) (eV per atom) = -0.190